## one
Compound: Zn2AuCl
Source: Alexandria via LeMat-Bulk
Functional: PBE
Structure: relaxed Values from VASP.

The structure in Quantum ESPRESSO input format:
```
&SYSTEM
  ibrav = 0, nat = 8, ntyp = 3
/
ATOMIC_SPECIES
Zn 65.41 Zn.upf
Au 196.97 Au.upf
Cl 35.45 Cl.upf
CELL_PARAMETERS angstrom
-3.406 3.406 3.687
3.406 -3.406 3.687
3.406 3.406 -3.687
ATOMIC_POSITIONS angstrom
Zn 5.108 1.661 -0.922
Zn 1.661 1.703 0.922
Zn -1.703 1.744 2.766
Zn 1.744 1.703 4.609
Au 0.000 0.000 0.000
Au 0.000 3.406 1.844
Cl 3.406 0.000 1.844
Cl 0.000 0.000 3.687
```

## two
Compound: Zn2AuCl
Source: Alexandria via LeMat-Bulk
Functional: PBE
Structure: relaxed Values from VASP.

The structure in Quantum ESPRESSO input format:
```
&SYSTEM
  ibrav = 0, nat = 4, ntyp = 3
/
ATOMIC_SPECIES
Zn 65.41 Zn.upf
Au 196.97 Au.upf
Cl 35.45 Cl.upf
CELL_PARAMETERS angstrom
4.308 -1.712 0.000
4.308 1.712 0.000
-4.295 0.000 5.883
ATOMIC_POSITIONS angstrom
Zn 0.375 0.000 1.980
Zn 3.947 0.000 3.902
Au -2.147 0.000 2.941
Cl 4.308 0.000 0.000
```

It is two that is the most stable of them.

## one
Compound: Zn2AuCl
Source: Alexandria via LeMat-Bulk
Functional: PBE
Structure: relaxed Values from VASP.

The structure in Quantum ESPRESSO input format:
```
&SYSTEM
  ibrav = 0, nat = 4, ntyp = 3
/
ATOMIC_SPECIES
Zn 65.41 Zn.upf
Au 196.97 Au.upf
Cl 35.45 Cl.upf
CELL_PARAMETERS angstrom
-1.833 1.833 6.189
1.833 -1.833 6.189
1.833 1.833 -6.189
ATOMIC_POSITIONS angstrom
Zn 0.000 0.000 0.000
Zn 0.000 1.833 3.095
Au 1.833 0.000 3.095
Cl 0.000 0.000 6.189
```

## two
Compound: Zn2AuCl
Source: Alexandria via LeMat-Bulk
Functional: PBE
Structure: relaxed Values from VASP.

The structure in Quantum ESPRESSO input format:
```
&SYSTEM
  ibrav = 0, nat = 4, ntyp = 3
/
ATOMIC_SPECIES
Zn 65.41 Zn.upf
Au 196.97 Au.upf
Cl 35.45 Cl.upf
CELL_PARAMETERS angstrom
3.202 0.000 0.000
0.000 3.202 0.000
0.000 0.000 7.158
ATOMIC_POSITIONS angstrom
Zn 0.000 0.000 1.553
Zn 0.000 0.000 5.605
Au 1.601 1.601 0.000
Cl 1.601 1.601 3.579
```

It is two that is the most stable of them.

## one
Compound: Zn2AuCl
Source: Alexandria via LeMat-Bulk
Functional: PBE
Structure: relaxed Values from VASP.

The structure in Quantum ESPRESSO input format:
```
&SYSTEM
  ibrav = 0, nat = 4, ntyp = 3
/
ATOMIC_SPECIES
Zn 65.41 Zn.upf
Au 196.97 Au.upf
Cl 35.45 Cl.upf
CELL_PARAMETERS angstrom
3.059 0.000 0.000
0.000 3.059 0.000
0.000 0.000 8.354
ATOMIC_POSITIONS angstrom
Zn 0.000 0.000 0.000
Zn 1.530 1.530 1.911
Au 0.000 0.000 3.550
Cl 1.530 1.530 6.838
```

## two
Compound: Zn2AuCl
Source: Alexandria via LeMat-Bulk
Functional: PBE
Structure: relaxed Values from VASP.

The structure in Quantum ESPRESSO input format:
```
&SYSTEM
  ibrav = 0, nat = 4, ntyp = 3
/
ATOMIC_SPECIES
Zn 65.41 Zn.upf
Au 196.97 Au.upf
Cl 35.45 Cl.upf
CELL_PARAMETERS angstrom
3.412 0.000 0.000
0.000 3.938 0.000
0.000 0.000 6.075
ATOMIC_POSITIONS angstrom
Zn 0.000 0.000 0.000
Zn 0.000 1.969 3.037
Au 1.706 0.000 3.037
Cl 1.706 1.969 0.000
```

It is one that is the most stable of them.